First-principles (PBE-GGA) data for a geometry-optimized Mg3TlF structure, as listed in Alexandria.

Values from the calculation:
E_form (uncorrected) = -0.2348 eV per atom

Structure (POSCAR):
```
Mg3TlF
1.0
5.316 0.000 0.000
0.000 5.316 0.000
0.000 0.000 5.316
Tl Mg F
1 3 1
direct
0.000 0.000 0.000 Tl
0.000 0.000 0.500 Mg
0.000 0.500 0.000 Mg
0.500 0.000 0.000 Mg
0.500 0.500 0.500 F
```